A geometry-optimized Fe2CoSi structure. Source: Alexandria, functional GGA-PBE.

Cell lengths 2.575, 3.965, 4.424 Å; angles 90.00, 95.90, 90.00 degrees
Sites, in units of the cell vectors:
Fe1 0.000 0.000 0.000
Fe2 0.162 0.500 0.709
Co1 0.545 0.000 0.493
Si1 0.599 0.500 0.211

Output
calculated total energy = -7.556 eV per atom
raw formation energy = -192.5 meV per atom

=====

A geometry-optimized PmY2Sc4 structure. Source: Alexandria, functional GGA-PBE.

Cell lengths 5.958, 5.958, 6.142 Å; angles 93.40, 93.40, 114.19 degrees
Sites, in units of the cell vectors:
Pm1 0.000 0.000 0.000
Y1 0.071 0.698 0.409
Y2 0.698 0.071 0.409
Sc1 0.311 0.311 0.644
Sc2 0.428 0.849 0.878
Sc3 0.473 0.473 0.194
Sc4 0.849 0.428 0.878

Output
offset from the most stable computed form = 0.0924 eV/atom
calculated total energy = -6.001 eV per atom
formation energy = 0.142 eV/atom

=====

A geometry-optimized LiNd2Cd4 structure. Source: Alexandria, functional GGA-PBE.

Cell lengths 8.770, 8.770, 8.770 Å; angles 34.66, 34.66, 34.66 degrees
Sites, in units of the cell vectors:
Li1 0.000 0.000 0.000
Nd1 0.251 0.251 0.251
Nd2 0.749 0.749 0.749
Cd1 0.121 0.121 0.121
Cd2 0.378 0.378 0.378
Cd3 0.622 0.622 0.622
Cd4 0.879 0.879 0.879

Output
calculated total energy = -2.278 eV per atom
formation energy = -0.119 eV/atom

=====

A geometry-optimized EuYLuCd structure. Source: Alexandria, functional GGA-PBE.

Cell lengths 5.521, 5.521, 5.521 Å; angles 60.00, 60.00, 60.00 degrees
Sites, in units of the cell vectors:
Eu1 0.000 0.000 0.000
Y1 0.500 0.500 0.500
Lu1 0.250 0.250 0.250
Cd1 0.750 0.750 0.750

Output
calculated total energy = -5.558 eV per atom
formation energy = -0.014 eV/atom